Here is an optimized crystal structure of CoRePb2O6 from OQMD. Energies are from PBE+U.

Lattice parameters (Å, degrees): 5.626 5.626 5.626 60.00 60.00 60.00
Element x y z (fractional)
Co: 0.000 0.000 0.000
O: 0.741 0.259 0.259
O: 0.741 0.741 0.259
O: 0.259 0.741 0.259
O: 0.741 0.259 0.741
O: 0.259 0.741 0.741
O: 0.259 0.259 0.741
Pb: 0.250 0.250 0.250
Pb: 0.750 0.750 0.750
Re: 0.500 0.500 0.500

Results
DFT total energy: -6.66 eV per atom
mass density: 9.96 g/cm3